# Li3Tl2In3

Crystalline Li3Tl2In3 at its relaxed geometry (PBE, Alexandria via LeMat-Bulk).

Summary:
V in Å³ per cell: 182.0
E in hartree per atom: -0.0919
Offset from the most stable computed form in meV/atom: 0

CIF file:
```
data_Li3Tl2In3
_cell_length_a 8.0199
_cell_length_b 8.0199
_cell_length_c 3.2681
_cell_angle_alpha 90.00
_cell_angle_beta 90.00
_cell_angle_gamma 120.00
_symmetry_space_group_name_H-M 'P -6 2 m'
_symmetry_Int_Tables_number 189
_symmetry_space_group_name_Hall 'P -6 -2'
loop_
_atom_site_label
_atom_site_type_symbol
_atom_site_fract_x
_atom_site_fract_y
_atom_site_fract_z
Li1 Li 0.0000 0.3772 0.0000
Tl1 Tl 0.3333 0.6667 0.5000
In1 In 0.0000 0.7679 0.5000
```

# MnNbMo

Crystalline MnNbMo at its relaxed geometry (PBE, Alexandria via LeMat-Bulk).

Summary:
V in Å³ per cell: 45.2
E in hartree per atom: -0.3650
Offset from the most stable computed form in meV/atom: 42

CIF file:
```
data_MnNbMo
_cell_length_a 4.3673
_cell_length_b 4.3673
_cell_length_c 2.7365
_cell_angle_alpha 90.00
_cell_angle_beta 90.00
_cell_angle_gamma 120.00
_symmetry_space_group_name_H-M 'P 3 m 1'
_symmetry_Int_Tables_number 156
_symmetry_space_group_name_Hall 'P 3 -2"'
loop_
_atom_site_label
_atom_site_type_symbol
_atom_site_fract_x
_atom_site_fract_y
_atom_site_fract_z
Mn1 Mn 0.0000 0.0000 0.0000
Nb1 Nb 0.6667 0.3333 0.3377
Mo1 Mo 0.3333 0.6667 0.6834
```

# LaPm2DySe4

Crystalline LaPm2DySe4 at its relaxed geometry (PBE, Alexandria via LeMat-Bulk).

Summary:
V in Å³ per cell: 209.2
E in hartree per atom: -0.2194
Uncorrected formation energy in kJ per mole of atoms: -178.3

CIF file:
```
data_LaPm2DySe4
_cell_length_a 7.253
_cell_length_b 4.152
_cell_length_c 7.343
_cell_angle_alpha 90.00
_cell_angle_beta 108.93
_cell_angle_gamma 90.00
_symmetry_space_group_name_H-M 'P 1 2/m 1'
_symmetry_Int_Tables_number 10
_symmetry_space_group_name_Hall '-P 2y'
loop_
_atom_site_label
_atom_site_type_symbol
_atom_site_fract_x
_atom_site_fract_y
_atom_site_fract_z
La1 La 0.000 0.000 0.000
Pm1 Pm 0.500 0.000 0.500
Pm2 Pm 0.500 0.500 0.000
Dy1 Dy 0.000 0.500 0.500
Se1 Se 0.244 0.000 0.740
Se2 Se 0.251 0.500 0.259
```